one | A plane-wave DFT calculation with GGA-PBEsol was carried out for crystalline Ta5Mo3 at its relaxed geometry.

It has space group I4/mmm (No. 139), with a = 4.538 Å, b = 4.538 Å, c = 12.885 Å, α = 90.00°, β = 90.00° and γ = 90.00°. Symmetry generates all atoms from Ta at (0.000, 0.000, 0.000), Ta at (0.000, 0.500, 0.127), Mo at (0.000, 0.000, 0.248) and Mo at (0.000, 0.000, 0.500).

The density of states at the Fermi level is 0.9506 states/eV per atom. The calculation puts the total moment at 0.0000 μB per atom.


two | A plane-wave DFT calculation with GGA-PBEsol was carried out for crystalline Ta5Mo3 at its relaxed geometry.

It has space group C2/m (No. 12), with a = 5.616 Å, b = 9.023 Å, c = 5.582 Å, α = 90.00°, β = 110.07° and γ = 90.00°. Symmetry generates all atoms from Ta at (0.000, 0.000, 0.000), Ta at (0.246, 0.245, 0.748), Mo at (0.000, 0.000, 0.500), Mo at (0.000, 0.500, 0.000) and Mo at (0.000, 0.500, 0.500).

The density of states at the Fermi level is 0.9719 states/eV per atom. The calculation puts the total moment at 0.0000 μB per atom.


Top of the stability list: one, leading by 0.044 eV/atom.


one | A plane-wave DFT calculation with GGA-PBEsol was carried out for crystalline CuRe2Pb at its relaxed geometry.

It has space group P4/mmm (No. 123), with a = 3.800 Å, b = 3.800 Å, c = 4.441 Å, α = 90.00°, β = 90.00° and γ = 90.00°. Symmetry generates all atoms from Cu at (0.000, 0.000, 0.000), Re at (0.000, 0.500, 0.500) and Pb at (0.500, 0.500, 0.000).

The density of states at the Fermi level is 1.0983 states/eV per atom. The calculation puts the total moment at 0.0000 μB per atom.


two | A plane-wave DFT calculation with GGA-PBEsol was carried out for crystalline CuRe2Pb at its relaxed geometry.

It has space group I-4m2 (No. 119), with a = 4.159 Å, b = 4.159 Å, c = 7.283 Å, α = 90.00°, β = 90.00° and γ = 90.00°. Symmetry generates all atoms from Cu at (0.000, 0.000, 0.000), Re at (0.000, 0.000, 0.500), Re at (0.000, 0.500, 0.750) and Pb at (0.000, 0.500, 0.250).

The density of states at the Fermi level is 0.6820 states/eV per atom. The calculation puts the total moment at 0.0000 μB per atom.


Top of the stability list: two, leading by 0.145 eV/atom.